(1)
Computed, not measured: a relaxed structure of PmDyY2S4 at the GGA-PBE level of DFT.

Values from the calculation:
E_tot (eV per cell): -54.80
Space-group type: P2/m, No. 10
ΔE_f (raw) (eV per formula unit): -16.01

Unit cell a=6.848 b=3.909 c=6.862 alpha=90.00 beta=109.03 gamma=90.00
Fractional positions:
Pm  0.000  0.000  0.000
Dy  0.000  0.500  0.500
Y  0.500  0.000  0.500
Y  0.500  0.500  0.000
S  0.253  0.000  0.745
S  0.257  0.500  0.258
S  0.743  0.500  0.742
S  0.747  0.000  0.255

---

(2)
Computed, not measured: a relaxed structure of LaCeTmTl at the GGA-PBE level of DFT.

Values from the calculation:
E_tot (eV per cell): -17.64
Space-group type: F-43m, No. 216
ΔH_f (0 K) (eV per atom): 0.014

Unit cell a=5.497 b=5.497 c=5.497 alpha=60.00 beta=60.00 gamma=60.00
Fractional positions:
La  0.000  0.000  0.000
Ce  0.250  0.250  0.250
Tm  0.500  0.500  0.500
Tl  0.750  0.750  0.750

---

(3)
Computed, not measured: a relaxed structure of Dy2TmIn2Hg2 at the GGA-PBE level of DFT.

Values from the calculation:
E_tot (eV per cell): -21.39
Space-group type: R-3m, No. 166
ΔH_f (0 K) (eV per atom): -0.234

Unit cell a=9.219 b=9.219 c=9.219 alpha=31.09 beta=31.09 gamma=31.09
Fractional positions:
Dy  0.130  0.130  0.130
Dy  0.870  0.870  0.870
Tm  0.000  0.000  0.000
In  0.271  0.271  0.271
In  0.729  0.729  0.729
Hg  0.426  0.426  0.426
Hg  0.574  0.574  0.574

---

(4)
Computed, not measured: a relaxed structure of Tl2Cr2SiSe6 at the GGA-PBE level of DFT.

Values from the calculation:
E_tot (eV per cell): -55.55
Space-group type: C2/m, No. 12
ΔE_f (raw) (eV per formula unit): -5.24

Unit cell a=6.407 b=6.407 c=8.091 alpha=97.70 beta=97.70 gamma=120.08
Fractional positions:
Tl  0.168  0.832  0.000
Tl  0.832  0.168  0.000
Cr  0.331  0.669  0.500
Cr  0.669  0.331  0.500
Si  0.000  0.000  0.500
Se  0.062  0.385  0.675
Se  0.266  0.266  0.326
Se  0.385  0.062  0.675
Se  0.615  0.938  0.325
Se  0.734  0.734  0.674
Se  0.938  0.615  0.325

---

(5)
Computed, not measured: a relaxed structure of Y2HfSnC at the GGA-PBE level of DFT.

Values from the calculation:
E_tot (eV per cell): -38.89
Space-group type: P4/mmm, No. 123
ΔH_f (0 K) (eV per atom): -0.556

Unit cell a=4.904 b=4.904 c=4.519 alpha=90.00 beta=90.00 gamma=90.00
Fractional positions:
Y  0.000  0.500  0.000
Y  0.500  0.000  0.000
Hf  0.000  0.000  0.500
Sn  0.500  0.500  0.500
C  0.000  0.000  0.000

---

(6)
Computed, not measured: a relaxed structure of MgMoPb3 at the GGA-PBE level of DFT.

Values from the calculation:
E_tot (eV per cell): -21.12
Relative energy among the computed polymorphs (eV/f.u.): 0.00
Space-group type: Pm-3m, No. 221
ΔH_f (0 K) (eV per atom): 0.486

Unit cell a=5.434 b=5.434 c=5.434 alpha=90.00 beta=90.00 gamma=90.00
Fractional positions:
Mg  0.000  0.000  0.000
Mo  0.500  0.500  0.500
Pb  0.000  0.500  0.500
Pb  0.500  0.000  0.500
Pb  0.500  0.500  0.000

---

(7)
Computed, not measured: a relaxed structure of ScFeAs at the GGA-PBE level of DFT.

Values from the calculation:
E_tot (eV per cell): -20.57
Space-group type: I4mm, No. 107
ΔH_f (0 K) (eV per atom): -0.374

Unit cell a=5.264 b=5.264 c=5.264 alpha=145.07 beta=145.07 gamma=50.22
Fractional positions:
Sc  0.000  0.000  0.000
Fe  0.309  0.309  0.000
As  0.701  0.701  0.000

---

(8)
Computed, not measured: a relaxed structure of Hf5Pa at the GGA-PBE level of DFT.

Values from the calculation:
E_tot (eV per cell): -58.76
Relative energy among the computed polymorphs (eV/f.u.): 0.00
Space-group type: Cmmm, No. 65
ΔH_f (0 K) (eV per atom): 0.084

Unit cell a=7.142 b=7.142 c=4.487 alpha=90.00 beta=90.00 gamma=143.19
Fractional positions:
Hf  0.000  0.000  0.000
Hf  0.166  0.834  0.500
Hf  0.330  0.670  0.000
Hf  0.670  0.330  0.000
Hf  0.834  0.166  0.500
Pa  0.500  0.500  0.500

---

(9)
Computed, not measured: a relaxed structure of TaCrBiH2 at the GGA-PBE level of DFT.

Values from the calculation:
E_tot (eV per cell): -28.98
Space-group type: P4/mmm, No. 123

Unit cell a=3.801 b=3.801 c=5.091 alpha=90.00 beta=90.00 gamma=90.00
Fractional positions:
Ta  0.000  0.000  0.000
Cr  0.000  0.000  0.500
Bi  0.500  0.500  0.500
H  0.000  0.500  0.000
H  0.500  0.000  0.000

---

(10)
Computed, not measured: a relaxed structure of ZrCoMo2 at the GGA-PBE level of DFT.

Values from the calculation:
E_tot (eV per cell): -36.81
Relative energy among the computed polymorphs (eV/f.u.): 0.58
Space-group type: Imm2, No. 44
ΔH_f (0 K) (eV per atom): 0.126

Unit cell a=5.153 b=5.153 c=5.153 alpha=143.02 beta=127.17 gamma=66.24
Fractional positions:
Zr  0.000  0.000  0.000
Co  0.256  0.756  0.500
Mo  0.496  0.496  0.000
Mo  0.733  0.233  0.500

---

(11)
Computed, not measured: a relaxed structure of Sr3Dy3MnSe8 at the GGA-PBE level of DFT.

Values from the calculation:
E_tot (eV per cell): -81.61
Space-group type: R-3m, No. 166
ΔE_f (raw) (eV per formula unit): -25.71

Unit cell a=8.575 b=8.575 c=8.575 alpha=57.87 beta=57.87 gamma=57.87
Fractional positions:
Sr  0.000  0.500  0.500
Sr  0.500  0.000  0.500
Sr  0.500  0.500  0.000
Dy  0.000  0.000  0.500
Dy  0.000  0.500  0.000
Dy  0.500  0.000  0.000
Mn  0.500  0.500  0.500
Se  0.243  0.243  0.243
Se  0.247  0.737  0.737
Se  0.263  0.263  0.753
Se  0.263  0.753  0.263
Se  0.737  0.247  0.737
Se  0.737  0.737  0.247
Se  0.753  0.263  0.263
Se  0.757  0.757  0.757

---

(12)
Computed, not measured: a relaxed structure of Ba2GaPN at the GGA-PBE level of DFT.

Values from the calculation:
E_tot (eV per cell): -20.44
Relative energy among the computed polymorphs (eV/f.u.): 3.58
Space-group type: P4/mmm, No. 123
ΔE_f (raw) (eV per formula unit): 0.17

Unit cell a=6.293 b=6.293 c=3.640 alpha=90.00 beta=90.00 gamma=90.00
Fractional positions:
Ba  0.000  0.500  0.000
Ba  0.500  0.000  0.000
Ga  0.000  0.000  0.500
P  0.500  0.500  0.000
N  0.500  0.500  0.500

---

Values for ρ, g/cm³, ordered as above
5.87, 9.22, 10.08, 6.09, 7.44, 7.68, 6.13, 13.60, 10.02, 8.78, 5.63, 4.49